No. 1
## CrHg8 (PBE-GGA)

Data for a geometry-optimized CrHg8 structure.

```
data_CrHg8
_chemical_formula_sum 'Cr2 Hg16'
_cell_length_a 10.064
_cell_length_b 10.064
_cell_length_c 4.298
_cell_angle_alpha 90.00
_cell_angle_beta 90.00
_cell_angle_gamma 90.00
_space_group_name_H-M_alt 'I 4/m m m'
_space_group_IT_number 139
_space_group_name_Hall '-I 4 2'
loop_
_atom_site_label
_atom_site_type_symbol
_atom_site_fract_x
_atom_site_fract_y
_atom_site_fract_z
Cr1 Cr 0.000 0.000 0.000
Hg1 Hg 0.000 0.330 0.000
Hg2 Hg 0.159 0.159 0.500
```

Values from the calculation:
As for the crystal system: tetragonal. As for the density of states at the Fermi level: 0.367 states/eV/atom. The calculated formation energy comes out at 0.193 eV/atom.

***

No. 2
## Cr3Hg (PBE-GGA)

Data for a geometry-optimized Cr3Hg structure.

```
data_Cr3Hg
_chemical_formula_sum 'Cr6 Hg2'
_cell_length_a 5.5592
_cell_length_b 5.5592
_cell_length_c 4.2449
_cell_angle_alpha 90.00
_cell_angle_beta 90.00
_cell_angle_gamma 120.00
_space_group_name_H-M_alt 'P 63/m m c'
_space_group_IT_number 194
_space_group_name_Hall '-P 6c 2c'
loop_
_atom_site_label
_atom_site_type_symbol
_atom_site_fract_x
_atom_site_fract_y
_atom_site_fract_z
Cr1 Cr 0.1402 0.2804 0.2500
Hg1 Hg 0.3333 0.6667 0.7500
```

Values from the calculation:
As for the crystal system: hexagonal. As for the density of states at the Fermi level: 0.934 states/eV/atom. The calculated formation energy comes out at 0.425 eV/atom.